First-principles (GGA+U) data for a relaxed LiTi4VO8 crystal, as listed in the Alexandria database.

CIF file:
```
data_LiTi4VO8
_cell_length_a 5.876
_cell_length_b 5.890
_cell_length_c 5.897
_cell_angle_alpha 119.79
_cell_angle_beta 90.99
_cell_angle_gamma 118.81
_symmetry_space_group_name_H-M 'P -1'
_symmetry_Int_Tables_number 2
_symmetry_space_group_name_Hall '-P 1'
loop_
_atom_site_label
_atom_site_fract_x
_atom_site_fract_y
_atom_site_fract_z
_atom_site_occupancy
Li1 0.000 0.000 0.000 1
Ti1 0.000 0.500 0.500 1
Ti2 0.500 0.000 0.000 1
Ti3 0.500 0.000 0.500 1
Ti4 0.500 0.500 0.000 1
V1 0.000 0.500 0.000 1
O1 0.252 0.504 0.252 1
O2 0.253 0.000 0.752 1
O3 0.256 0.516 0.761 1
O4 0.277 0.989 0.239 1
```

Fermi-level density of states in states/eV per cell: 4.3
Total energy in eV/cell: -117.20